Record 1
A relaxed structure of ScRe2S, computed with PBE.

Properties
**E_tot**: -131.8 eV/cell
**DOS(E_F)**: 3.42 states/eV/f.u.

a = 6.226 Å, b = 6.226 Å, c = 6.226 Å
α = 90.00°, β = 90.00°, γ = 90.00°
Space group Fm-3m (No. 225)
One atom of each set of equivalent atoms:
Sc (0.000, 0.000, 0.000)
Re (0.250, 0.250, 0.250)
S (0.000, 0.000, 0.500)

Record 2
A relaxed structure of Tb2SbIr, computed with PBE.

Properties
**E_tot**: -75.5 eV/cell
**DOS(E_F)**: 1.67 states/eV/f.u.

a = 4.2230 Å, b = 4.2230 Å, c = 20.7183 Å
α = 90.00°, β = 90.00°, γ = 120.00°
Space group R-3m (No. 166, hexagonal axes)
One atom of each set of equivalent atoms:
Tb (0.0000, 0.0000, 0.2396)
Sb (0.0000, 0.0000, 0.0000)
Ir (0.0000, 0.0000, 0.5000)

Record 3
A relaxed structure of Ac2Mg4Al3In, computed with PBE.

Properties
**ΔE_f**: -217.1 meV/atom
**DOS(E_F)**: 3.75 states/eV/f.u.

a = 4.670 Å, b = 4.670 Å, c = 11.925 Å
α = 90.00°, β = 90.00°, γ = 90.00°
Space group P-4m2 (No. 115)
One atom of each set of equivalent atoms:
Ac (0.000, 0.500, 0.248)
Mg (0.000, 0.000, 0.000)
Mg (0.000, 0.500, 0.638)
Mg (0.500, 0.500, 0.000)
Al (0.000, 0.500, 0.864)
Al (0.500, 0.500, 0.500)
In (0.000, 0.000, 0.500)

Record 4
A relaxed structure of SrYGeTe2, computed with PBE.

Properties
**E_tot**: -18.4 eV/cell
**DOS(E_F)**: 4.22 states/eV/f.u.

a = 5.745 Å, b = 5.745 Å, c = 6.868 Å
α = 90.00°, β = 90.00°, γ = 90.00°
Space group P4/mmm (No. 123)
One atom of each set of equivalent atoms:
Sr (0.000, 0.000, 0.000)
Y (0.000, 0.000, 0.500)
Ge (0.500, 0.500, 0.000)
Te (0.000, 0.500, 0.500)

Record 5
A relaxed structure of Hg3TeCl, computed with PBE.

Properties
**E_tot**: -6.1 eV/cell
**DOS(E_F)**: 2.08 states/eV/f.u.

a = 5.772 Å, b = 5.772 Å, c = 5.772 Å
α = 90.00°, β = 90.00°, γ = 90.00°
Space group Pm-3m (No. 221)
One atom of each set of equivalent atoms:
Hg (0.000, 0.000, 0.500)
Te (0.000, 0.000, 0.000)
Cl (0.500, 0.500, 0.500)

Record 6
A relaxed structure of V3HgPb, computed with PBE.

Properties
**ΔE_f**: 1584.5 meV/atom
**DOS(E_F)**: 9.15 states/eV/f.u.

a = 5.245 Å, b = 5.245 Å, c = 5.245 Å
α = 90.00°, β = 90.00°, γ = 90.00°
Space group Pm-3m (No. 221)
One atom of each set of equivalent atoms:
V (0.000, 0.000, 0.500)
Hg (0.500, 0.500, 0.500)
Pb (0.000, 0.000, 0.000)

Record 7
A relaxed structure of KDyBi2, computed with PBE.

Properties
**ΔE_f**: -521.8 meV/atom
**DOS(E_F)**: 2.61 states/eV/f.u.

a = 3.704 Å, b = 3.704 Å, c = 9.607 Å
α = 90.00°, β = 90.00°, γ = 90.00°
Space group P4/mmm (No. 123)
One atom of each set of equivalent atoms:
K (0.000, 0.000, 0.000)
Dy (0.000, 0.000, 0.500)
Bi (0.500, 0.500, 0.279)

Record 8
A relaxed structure of LaPr2Er6, computed with PBE.

Properties
**ΔE_f**: 29.3 meV/atom
**DOS(E_F)**: 12.44 states/eV/f.u.

a = 10.742 Å, b = 10.742 Å, c = 5.077 Å
α = 90.00°, β = 90.00°, γ = 90.00°
Space group P4_2/mnm (No. 136)
One atom of each set of equivalent atoms:
La (0.000, 0.000, 0.000)
Pr (0.169, 0.169, 0.500)
Er (0.002, 0.336, 0.000)
Er (0.169, 0.831, 0.500)